(1)
# Ni2WBr PBE optimized geometry
# VASP energy (eV per atom): -6.09
# Fermi-level density of states (states/eV/f.u.): 2.9
# Polymorph energy (0 for the lowest one) (meV/atom): 100
# Space-group type: Cm (8)
# Raw formation energy (meV per atom): 453
data_Ni2WBr
_space_group_name_H-M_alt 'P 1'
_space_group_IT_number 1
_cell_length_a 4.2161
_cell_length_b 4.2161
_cell_length_c 6.3512
_cell_angle_alpha 97.29
_cell_angle_beta 97.29
_cell_angle_gamma 42.45
loop_
_space_group_symop_operation_xyz
'x,y,z'
loop_
_atom_site_label
_atom_site_type_symbol
_atom_site_fract_x
_atom_site_fract_y
_atom_site_fract_z
Ni1 Ni 0.0000 0.0000 0.0000
Ni2 Ni 0.7309 0.7309 0.1617
W1 W 0.2714 0.2714 0.8628
Br1 Br 0.6699 0.6699 0.5349

---

(2)
# PmCu4Au2 PBE optimized geometry
# VASP energy (eV per atom): -3.74
# Fermi-level density of states (states/eV/f.u.): 2.8
# Space-group type: I4/mmm (139)
# DFT formation energy (eV per atom): 0.22
data_PmCu4Au2
_space_group_name_H-M_alt 'P 1'
_space_group_IT_number 1
_cell_length_a 5.9341
_cell_length_b 5.9341
_cell_length_c 5.9341
_cell_angle_alpha 102.15
_cell_angle_beta 102.15
_cell_angle_gamma 125.38
loop_
_space_group_symop_operation_xyz
'x,y,z'
loop_
_atom_site_label
_atom_site_type_symbol
_atom_site_fract_x
_atom_site_fract_y
_atom_site_fract_z
Pm1 Pm 0.0000 0.0000 0.0000
Cu1 Cu 0.2820 0.5000 0.7820
Cu2 Cu 0.5000 0.2820 0.7820
Cu3 Cu 0.5000 0.7180 0.2180
Cu4 Cu 0.7180 0.5000 0.2180
Au1 Au 0.2500 0.7500 0.5000
Au2 Au 0.7500 0.2500 0.5000

---

(3)
# La3Tb5S12 PBE optimized geometry
# VASP energy (eV per atom): -6.36
# Fermi-level density of states (states/eV/f.u.): 0.0
# Space-group type: Ia-3d (230)
# Raw formation energy (meV per atom): -1989
data_La3Tb5S12
_space_group_name_H-M_alt 'P 1'
_space_group_IT_number 1
_cell_length_a 14.2218
_cell_length_b 14.2218
_cell_length_c 14.2218
_cell_angle_alpha 109.47
_cell_angle_beta 109.47
_cell_angle_gamma 109.47
loop_
_space_group_symop_operation_xyz
'x,y,z'
loop_
_atom_site_label
_atom_site_type_symbol
_atom_site_fract_x
_atom_site_fract_y
_atom_site_fract_z
La1 La 0.1250 0.2500 0.3750
La2 La 0.1250 0.3750 0.7500
La3 La 0.2500 0.3750 0.1250
La4 La 0.2500 0.8750 0.6250
La5 La 0.3750 0.1250 0.2500
La6 La 0.3750 0.7500 0.1250
La7 La 0.6250 0.2500 0.8750
La8 La 0.6250 0.8750 0.7500
La9 La 0.7500 0.1250 0.3750
La10 La 0.7500 0.6250 0.8750
La11 La 0.8750 0.6250 0.2500
La12 La 0.8750 0.7500 0.6250
Tb1 Tb 0.0000 0.0000 0.0000
Tb2 Tb 0.0000 0.0000 0.5000
Tb3 Tb 0.0000 0.5000 0.0000
Tb4 Tb 0.0000 0.5000 0.5000
Tb5 Tb 0.1250 0.7500 0.8750
Tb6 Tb 0.1250 0.8750 0.2500
Tb7 Tb 0.2500 0.1250 0.8750
Tb8 Tb 0.2500 0.6250 0.3750
Tb9 Tb 0.3750 0.2500 0.6250
Tb10 Tb 0.3750 0.6250 0.7500
Tb11 Tb 0.5000 0.0000 0.0000
Tb12 Tb 0.5000 0.0000 0.5000
Tb13 Tb 0.5000 0.5000 0.0000
Tb14 Tb 0.5000 0.5000 0.5000
Tb15 Tb 0.6250 0.3750 0.2500
Tb16 Tb 0.6250 0.7500 0.3750
Tb17 Tb 0.7500 0.3750 0.6250
Tb18 Tb 0.7500 0.8750 0.1250
Tb19 Tb 0.8750 0.1250 0.7500
Tb20 Tb 0.8750 0.2500 0.1250
S1 S 0.0446 0.2189 0.1300
S2 S 0.0446 0.3256 0.9145
S3 S 0.0855 0.6300 0.4111
S4 S 0.0855 0.9554 0.6744
S5 S 0.0889 0.7189 0.6744
S6 S 0.0889 0.8700 0.4145
S7 S 0.1300 0.0446 0.2189
S8 S 0.1300 0.5855 0.9111
S9 S 0.1744 0.2189 0.5889
S10 S 0.1744 0.4554 0.5855
S11 S 0.2189 0.1300 0.0446
S12 S 0.2189 0.5889 0.1744
S13 S 0.2811 0.3256 0.9111
S14 S 0.2811 0.4554 0.3700
S15 S 0.3256 0.9111 0.2811
S16 S 0.3256 0.9145 0.0446
S17 S 0.3700 0.2811 0.4554
S18 S 0.3700 0.5889 0.9145
S19 S 0.4111 0.0855 0.6300
S20 S 0.4111 0.8256 0.7811
S21 S 0.4145 0.0889 0.8700
S22 S 0.4145 0.8256 0.5446
S23 S 0.4554 0.3700 0.2811
S24 S 0.4554 0.5855 0.1744
S25 S 0.5446 0.4145 0.8256
S26 S 0.5446 0.6300 0.7189
S27 S 0.5855 0.1744 0.4554
S28 S 0.5855 0.9111 0.1300
S29 S 0.5889 0.1744 0.2189
S30 S 0.5889 0.9145 0.3700
S31 S 0.6300 0.4111 0.0855
S32 S 0.6300 0.7189 0.5446
S33 S 0.6744 0.0855 0.9554
S34 S 0.6744 0.0889 0.7189
S35 S 0.7189 0.5446 0.6300
S36 S 0.7189 0.6744 0.0889
S37 S 0.7811 0.4111 0.8256
S38 S 0.7811 0.8700 0.9554
S39 S 0.8256 0.5446 0.4145
S40 S 0.8256 0.7811 0.4111
S41 S 0.8700 0.4145 0.0889
S42 S 0.8700 0.9554 0.7811
S43 S 0.9111 0.1300 0.5855
S44 S 0.9111 0.2811 0.3256
S45 S 0.9145 0.0446 0.3256
S46 S 0.9145 0.3700 0.5889
S47 S 0.9554 0.6744 0.0855
S48 S 0.9554 0.7811 0.8700

---

(4)
# Pm6Tm2In PBE optimized geometry
# VASP energy (eV per atom): -4.48
# Fermi-level density of states (states/eV/f.u.): 17.2
# Polymorph energy (0 for the lowest one) (meV/atom): 30
# Space-group type: P6/mmm (191)
# DFT formation energy (eV per atom): -0.01
data_Pm6Tm2In
_space_group_name_H-M_alt 'P 1'
_space_group_IT_number 1
_cell_length_a 9.7639
_cell_length_b 9.7639
_cell_length_c 3.4454
_cell_angle_alpha 90.00
_cell_angle_beta 90.00
_cell_angle_gamma 120.00
loop_
_space_group_symop_operation_xyz
'x,y,z'
loop_
_atom_site_label
_atom_site_type_symbol
_atom_site_fract_x
_atom_site_fract_y
_atom_site_fract_z
Pm1 Pm 0.0000 0.3261 0.0000
Pm2 Pm 0.0000 0.6739 0.0000
Pm3 Pm 0.3261 0.0000 0.0000
Pm4 Pm 0.3261 0.3261 0.0000
Pm5 Pm 0.6739 0.0000 0.0000
Pm6 Pm 0.6739 0.6739 0.0000
Tm1 Tm 0.3333 0.6667 0.5000
Tm2 Tm 0.6667 0.3333 0.5000
In1 In 0.0000 0.0000 0.5000

---

(5)
# ScAgSbRh PBE optimized geometry
# VASP energy (eV per atom): -5.65
# Fermi-level density of states (states/eV/f.u.): 1.0
# Space-group type: F-43m (216)
# Raw formation energy (meV per atom): -489
data_ScAgSbRh
_space_group_name_H-M_alt 'P 1'
_space_group_IT_number 1
_cell_length_a 4.6994
_cell_length_b 4.6994
_cell_length_c 4.6994
_cell_angle_alpha 60.00
_cell_angle_beta 60.00
_cell_angle_gamma 60.00
loop_
_space_group_symop_operation_xyz
'x,y,z'
loop_
_atom_site_label
_atom_site_type_symbol
_atom_site_fract_x
_atom_site_fract_y
_atom_site_fract_z
Sc1 Sc 0.0000 0.0000 0.0000
Ag1 Ag 0.2500 0.2500 0.2500
Sb1 Sb 0.5000 0.5000 0.5000
Rh1 Rh 0.7500 0.7500 0.7500

---

(6)
# MnCuPdAu2 PBE optimized geometry
# VASP energy (eV per atom): -4.91
# Fermi-level density of states (states/eV/f.u.): 2.1
# Polymorph energy (0 for the lowest one) (meV/atom): 0
# Space-group type: Cmcm (63)
# DFT formation energy (eV per atom): 0.10
data_MnCuPdAu2
_space_group_name_H-M_alt 'P 1'
_space_group_IT_number 1
_cell_length_a 8.8117
_cell_length_b 8.8117
_cell_length_c 7.0280
_cell_angle_alpha 90.00
_cell_angle_beta 90.00
_cell_angle_gamma 161.52
loop_
_space_group_symop_operation_xyz
'x,y,z'
loop_
_atom_site_label
_atom_site_type_symbol
_atom_site_fract_x
_atom_site_fract_y
_atom_site_fract_z
Mn1 Mn 0.0880 0.9120 0.7500
Mn2 Mn 0.9120 0.0880 0.2500
Cu1 Cu 0.2597 0.7403 0.2500
Cu2 Cu 0.7403 0.2597 0.7500
Pd1 Pd 0.5000 0.5000 0.0000
Pd2 Pd 0.5000 0.5000 0.5000
Au1 Au 0.3450 0.6550 0.5503
Au2 Au 0.3450 0.6550 0.9497
Au3 Au 0.6550 0.3450 0.0503
Au4 Au 0.6550 0.3450 0.4497

---

(7)
# ThAl2Pt2 PBE optimized geometry
# VASP energy (eV per atom): -6.51
# Fermi-level density of states (states/eV/f.u.): 3.4
# Space-group type: I4/mmm (139)
# DFT formation energy (eV per atom): -1.12
data_ThAl2Pt2
_space_group_name_H-M_alt 'P 1'
_space_group_IT_number 1
_cell_length_a 6.3446
_cell_length_b 6.3446
_cell_length_c 6.3446
_cell_angle_alpha 141.71
_cell_angle_beta 141.71
_cell_angle_gamma 55.27
loop_
_space_group_symop_operation_xyz
'x,y,z'
loop_
_atom_site_label
_atom_site_type_symbol
_atom_site_fract_x
_atom_site_fract_y
_atom_site_fract_z
Th1 Th 0.0000 0.0000 0.0000
Al1 Al 0.2500 0.7500 0.5000
Al2 Al 0.7500 0.2500 0.5000
Pt1 Pt 0.3793 0.3793 0.0000
Pt2 Pt 0.6207 0.6207 0.0000

---

(8)
# Re3GeMo PBE optimized geometry
# VASP energy (eV per atom): -8.31
# Fermi-level density of states (states/eV/f.u.): 4.8
# Polymorph energy (0 for the lowest one) (meV/atom): 532
# Space-group type: Pm-3m (221)
# DFT formation energy (eV per atom): 2.25
data_Re3GeMo
_space_group_name_H-M_alt 'P 1'
_space_group_IT_number 1
_cell_length_a 4.7393
_cell_length_b 4.7393
_cell_length_c 4.7393
_cell_angle_alpha 90.00
_cell_angle_beta 90.00
_cell_angle_gamma 90.00
loop_
_space_group_symop_operation_xyz
'x,y,z'
loop_
_atom_site_label
_atom_site_type_symbol
_atom_site_fract_x
_atom_site_fract_y
_atom_site_fract_z
Re1 Re 0.0000 0.0000 0.5000
Re2 Re 0.0000 0.5000 0.0000
Re3 Re 0.5000 0.0000 0.0000
Ge1 Ge 0.5000 0.5000 0.5000
Mo1 Mo 0.0000 0.0000 0.0000

---

(9)
# Cd3GaAg6 PBE optimized geometry
# VASP energy (eV per atom): -2.32
# Fermi-level density of states (states/eV/f.u.): 2.6
# Polymorph energy (0 for the lowest one) (meV/atom): 0
# Space-group type: P2_1/m (11)
# DFT formation energy (eV per atom): -0.03
data_Cd3GaAg6
_space_group_name_H-M_alt 'P 1'
_space_group_IT_number 1
_cell_length_a 9.1524
_cell_length_b 4.3654
_cell_length_c 9.3368
_cell_angle_alpha 90.00
_cell_angle_beta 91.30
_cell_angle_gamma 90.00
loop_
_space_group_symop_operation_xyz
'x,y,z'
loop_
_atom_site_label
_atom_site_type_symbol
_atom_site_fract_x
_atom_site_fract_y
_atom_site_fract_z
Cd1 Cd 0.0443 0.2500 0.3997
Cd2 Cd 0.1466 0.7500 0.2027
Cd3 Cd 0.2542 0.2500 0.0011
Cd4 Cd 0.7458 0.7500 0.9989
Cd5 Cd 0.8534 0.2500 0.7973
Cd6 Cd 0.9557 0.7500 0.6003
Ga1 Ga 0.4491 0.2500 0.6104
Ga2 Ga 0.5509 0.7500 0.3896
Ag1 Ag 0.0540 0.7500 0.9005
Ag2 Ag 0.1605 0.2500 0.6987
Ag3 Ag 0.2648 0.7500 0.5031
Ag4 Ag 0.3539 0.7500 0.8028
Ag5 Ag 0.3553 0.2500 0.3112
Ag6 Ag 0.4489 0.7500 0.1044
Ag7 Ag 0.5511 0.2500 0.8956
Ag8 Ag 0.6447 0.7500 0.6888
Ag9 Ag 0.6461 0.2500 0.1972
Ag10 Ag 0.7352 0.2500 0.4969
Ag11 Ag 0.8395 0.7500 0.3013
Ag12 Ag 0.9460 0.2500 0.0995

---

(10)
# Fe2AgAs PBE optimized geometry
# VASP energy (eV per atom): -5.77
# Fermi-level density of states (states/eV/f.u.): 5.6
# Space-group type: R-3m (166)
# DFT formation energy (eV per atom): 0.34
data_Fe2AgAs
_space_group_name_H-M_alt 'P 1'
_space_group_IT_number 1
_cell_length_a 8.4197
_cell_length_b 8.4197
_cell_length_c 8.4197
_cell_angle_alpha 19.46
_cell_angle_beta 19.46
_cell_angle_gamma 19.46
loop_
_space_group_symop_operation_xyz
'x,y,z'
loop_
_atom_site_label
_atom_site_type_symbol
_atom_site_fract_x
_atom_site_fract_y
_atom_site_fract_z
Fe1 Fe 0.2422 0.2422 0.2422
Fe2 Fe 0.7578 0.7578 0.7578
Ag1 Ag 0.0000 0.0000 0.0000
As1 As 0.5000 0.5000 0.5000

---

(11)
# KSc2Sb PBE optimized geometry
# VASP energy (eV per atom): -4.54
# Fermi-level density of states (states/eV/f.u.): 4.1
# Space-group type: R-3m (166)
# Raw formation energy (meV per atom): -69
data_KSc2Sb
_space_group_name_H-M_alt 'P 1'
_space_group_IT_number 1
_cell_length_a 10.6310
_cell_length_b 10.6310
_cell_length_c 10.6310
_cell_angle_alpha 21.40
_cell_angle_beta 21.40
_cell_angle_gamma 21.40
loop_
_space_group_symop_operation_xyz
'x,y,z'
loop_
_atom_site_label
_atom_site_type_symbol
_atom_site_fract_x
_atom_site_fract_y
_atom_site_fract_z
K1 K 0.0000 0.0000 0.0000
Sc1 Sc 0.2218 0.2218 0.2218
Sc2 Sc 0.7782 0.7782 0.7782
Sb1 Sb 0.5000 0.5000 0.5000